# 1
Material: V3GaGe
Method: DFT, PBE
State: optimized geometry

POSCAR file:
```
V3GaGe
1.0
-1.039 -0.003 4.422
2.781 -4.180 0.651
3.898 5.802 0.920
V Ge Ga
6 2 2
Direct
0.750 0.914 0.320 V
0.250 0.594 0.680 V
0.500 0.000 0.000 V
0.000 0.000 0.000 V
0.750 0.406 0.320 V
0.250 0.086 0.680 V
0.750 0.824 0.648 Ge
0.250 0.176 0.352 Ge
0.250 0.556 0.113 Ga
0.750 0.444 0.887 Ga
```

Calculated density in g cm⁻³: 6.48
SG: Cmcm
ΔE_f in eV/atom: 0.091
Energy above the most stable polymorph in this dataset in meV per atom: 167
Total DFT energy (no corrections) in eV per atom: -6.909

# 2
Material: Zn2GaF8
Method: DFT, PBE
State: optimized geometry

POSCAR file:
```
Zn2GaF8
1.0
2.929 -0.367 -0.752
-0.917 5.469 -0.379
-0.652 -0.042 9.968
Ga F Zn
1 8 2
Direct
0.500 0.000 0.000 Ga
0.430 0.391 0.729 F
0.610 0.303 0.455 F
0.762 0.130 0.197 F
0.925 0.782 0.029 F
0.075 0.218 0.971 F
0.390 0.697 0.545 F
0.570 0.609 0.271 F
0.238 0.870 0.803 F
0.938 0.562 0.657 Zn
0.062 0.438 0.343 Zn
```

Calculated density in g cm⁻³: 3.81
SG: P-1
Energy above the most stable polymorph in this dataset in meV per atom: 0
Energy relative to the elements, uncorrected in kJ/mol of atoms: -205.1
Total DFT energy (no corrections) in eV per atom: -3.993

# 3
Material: Tc3AsSe
Method: DFT, PBE
State: optimized geometry

POSCAR file:
```
Tc3AsSe
1.0
-2.986 0.424 -3.435
-2.203 -3.732 1.455
-2.669 2.606 2.642
Se As Tc
1 1 3
Direct
0.000 0.000 0.000 Se
0.500 0.500 0.500 As
0.000 0.000 0.500 Tc
0.500 0.000 0.000 Tc
0.000 0.500 0.000 Tc
```

Calculated density in g cm⁻³: 7.79
SG: Pm-3m
Energy above the most stable polymorph in this dataset in meV per atom: 0
Energy relative to the elements, uncorrected in kJ/mol of atoms: 115.5
Total DFT energy (no corrections) in eV per atom: -6.650

# 4
Material: Tb3Co4Ge13
Method: DFT, PBE
State: optimized geometry

POSCAR file:
```
Tb3Co4Ge13
1.0
-5.917 -4.136 -5.037
0.783 -7.204 4.997
-6.470 2.911 5.210
Ge Co Tb
26 8 6
Direct
0.000 0.153 0.697 Ge
0.000 0.847 0.303 Ge
0.000 0.000 0.000 Ge
0.803 0.347 0.500 Ge
0.803 0.653 0.500 Ge
0.500 0.500 0.500 Ge
0.847 0.303 0.000 Ge
0.500 0.803 0.653 Ge
0.847 0.697 0.000 Ge
0.500 0.197 0.653 Ge
0.653 0.500 0.803 Ge
0.347 0.500 0.197 Ge
0.500 0.197 0.347 Ge
0.000 0.847 0.697 Ge
0.697 0.000 0.847 Ge
0.153 0.303 0.000 Ge
0.653 0.500 0.197 Ge
0.153 0.697 0.000 Ge
0.697 0.000 0.153 Ge
0.197 0.347 0.500 Ge
0.500 0.803 0.347 Ge
0.347 0.500 0.803 Ge
0.197 0.653 0.500 Ge
0.303 0.000 0.153 Ge
0.303 0.000 0.847 Ge
0.000 0.153 0.303 Ge
0.750 0.250 0.750 Co
0.750 0.750 0.750 Co
0.250 0.250 0.250 Co
0.250 0.250 0.750 Co
0.750 0.750 0.250 Co
0.250 0.750 0.250 Co
0.250 0.750 0.750 Co
0.750 0.250 0.250 Co
0.500 0.750 0.000 Tb
0.000 0.500 0.250 Tb
0.250 0.000 0.500 Tb
0.750 0.000 0.500 Tb
0.000 0.500 0.750 Tb
0.500 0.250 0.000 Tb
```

Calculated density in g cm⁻³: 8.07
SG: Pm-3n
ΔE_f in eV/atom: -0.420
Total DFT energy (no corrections) in eV per atom: -5.537

# 5
Material: Cu2Sn2S3
Method: DFT, PBE
State: optimized geometry

POSCAR file:
```
Cu2Sn2S3
1.0
-5.223 4.309 1.815
-3.002 -0.727 -6.914
-5.170 -2.244 2.480
S Cu Sn
6 4 4
Direct
0.304 0.892 0.322 S
0.196 0.392 0.678 S
0.000 0.000 0.000 S
0.696 0.108 0.678 S
0.804 0.608 0.322 S
0.500 0.500 0.000 S
0.085 0.121 0.591 Cu
0.415 0.621 0.409 Cu
0.585 0.379 0.591 Cu
0.915 0.879 0.409 Cu
0.099 0.327 0.168 Sn
0.401 0.827 0.832 Sn
0.901 0.673 0.832 Sn
0.599 0.173 0.168 Sn
```

Calculated density in g cm⁻³: 5.43
SG: P2_1/c
Energy relative to the elements, uncorrected in kJ/mol of atoms: -22.2
Total DFT energy (no corrections) in eV per atom: -4.313

# 6
Material: Be2SbRhBr
Method: DFT, PBE
State: optimized geometry

POSCAR file:
```
Be2SbRhBr
1.0
-4.357 0.723 -0.940
-0.799 -4.910 -0.073
-0.938 0.087 4.416
Br Rh Sb Be
1 1 1 2
Direct
0.500 0.500 0.500 Br
0.000 0.000 0.000 Rh
0.000 0.500 0.000 Sb
0.000 0.000 0.500 Be
0.500 0.000 0.000 Be
```

Calculated density in g cm⁻³: 5.28
SG: P4/mmm
Energy relative to the elements, uncorrected in kJ/mol of atoms: 25.1
Total DFT energy (no corrections) in eV per atom: -3.859

# 7
Material: TaAl3Au
Method: DFT, PBE
State: optimized geometry

POSCAR file:
```
TaAl3Au
1.0
-4.647 0.818 1.684
-1.796 -3.217 -3.394
0.527 -3.752 3.278
Al Au Ta
3 1 1
Direct
0.000 0.000 0.500 Al
0.500 0.000 0.000 Al
0.000 0.500 0.000 Al
0.500 0.500 0.500 Au
0.000 0.000 0.000 Ta
```

Calculated density in g cm⁻³: 6.06
SG: Pm-3m
ΔE_f in eV/atom: 1.030
Energy above the most stable polymorph in this dataset in meV per atom: 203
Total DFT energy (no corrections) in eV per atom: -4.241

# 8
Material: BaNpCuO6
Method: DFT, PBE
State: optimized geometry

POSCAR file:
```
BaNpCuO6
1.0
5.352 0.000 0.000
-2.676 4.635 0.000
0.000 0.000 11.796
O Np Cu Ba
12 2 2 2
Direct
0.621 0.622 0.653 O
0.002 0.622 0.847 O
0.998 0.621 0.347 O
0.379 0.378 0.347 O
0.379 0.002 0.153 O
0.622 0.002 0.347 O
0.002 0.379 0.653 O
0.378 0.998 0.653 O
0.998 0.378 0.153 O
0.621 0.998 0.847 O
0.622 0.621 0.153 O
0.378 0.379 0.847 O
0.667 0.333 0.250 Np
0.333 0.667 0.750 Np
0.333 0.667 0.250 Cu
0.667 0.333 0.750 Cu
0.000 0.000 0.000 Ba
0.000 0.000 0.500 Ba
```

Calculated density in g cm⁻³: 6.06
SG: P-31c
Energy relative to the elements, uncorrected in kJ/mol of atoms: -197.4
Total DFT energy (no corrections) in eV per atom: -7.458

# 9
Material: Ho3Ag2Pt
Method: DFT, PBE
State: optimized geometry

POSCAR file:
```
Ho3Ag2Pt
1.0
5.837 0.000 0.000
0.000 6.605 0.000
-2.918 -1.633 7.271
Ag Ho Pt
4 6 2
Direct
0.242 0.500 0.673 Ag
0.569 0.000 0.327 Ag
0.431 0.000 0.673 Ag
0.758 0.500 0.327 Ag
0.253 0.637 0.332 Ho
0.747 0.363 0.668 Ho
0.921 0.863 0.668 Ho
0.079 0.137 0.332 Ho
0.661 0.750 0.000 Ho
0.339 0.250 0.000 Ho
0.844 0.250 0.000 Pt
0.156 0.750 0.000 Pt
```

Calculated density in g cm⁻³: 10.73
SG: C2/c
ΔE_f in eV/atom: -0.539
Energy above the most stable polymorph in this dataset in meV per atom: 114
Total DFT energy (no corrections) in eV per atom: -4.785

# 10
Material: MnAsIr
Method: DFT, PBE
State: optimized geometry

POSCAR file:
```
MnAsIr
1.0
-2.707 0.447 -0.647
0.980 -2.633 0.222
-1.400 -0.028 5.842
As Mn Ir
1 1 1
Direct
0.000 0.000 0.979 As
0.667 0.333 0.675 Mn
0.333 0.667 0.346 Ir
```

Calculated density in g cm⁻³: 12.94
SG: P3m1
ΔE_f in eV/atom: 0.157
Total DFT energy (no corrections) in eV per atom: -7.403

# 11
Material: Ca2TcAs
Method: DFT, PBE
State: optimized geometry

POSCAR file:
```
Ca2TcAs
1.0
-2.744 0.658 -1.379
0.231 -2.623 -1.711
-4.251 -4.492 6.312
As Tc Ca
1 1 2
Direct
0.500 0.500 0.750 As
0.500 0.500 0.250 Tc
0.000 0.000 0.000 Ca
0.000 0.000 0.500 Ca
```

Calculated density in g cm⁻³: 4.82
SG: P4/mmm
ΔE_f in eV/atom: 0.059
Total DFT energy (no corrections) in eV per atom: -4.695

# 12
Material: GdAlCoNi
Method: DFT, PBE
State: optimized geometry

POSCAR file:
```
GdAlCoNi
1.0
4.462 0.000 0.000
2.231 3.864 0.000
2.231 1.288 3.643
Ni Gd Co Al
1 1 1 1
Direct
0.250 0.250 0.250 Ni
0.500 0.500 0.500 Gd
0.750 0.750 0.750 Co
0.000 0.000 0.000 Al
```

Calculated density in g cm⁻³: 7.98
SG: F-43m
ΔE_f in eV/atom: -0.300
Total DFT energy (no corrections) in eV per atom: -7.977

# 13
Material: Ac2ScAg
Method: DFT, PBE
State: optimized geometry

POSCAR file:
```
Ac2ScAg
1.0
-4.486 -3.306 1.137
-0.190 -5.321 -1.998
0.540 -4.398 3.566
Ac Sc Ag
2 1 1
Direct
0.250 0.250 0.250 Ac
0.750 0.750 0.750 Ac
0.000 0.000 0.000 Sc
0.500 0.500 0.500 Ag
```

Calculated density in g cm⁻³: 7.75
SG: Fm-3m
ΔE_f in eV/atom: 0.064
Energy above the most stable polymorph in this dataset in meV per atom: 117
Total DFT energy (no corrections) in eV per atom: -4.286

# 14
Material: Mn3Ni2N
Method: DFT, PBE
State: optimized geometry

POSCAR file:
```
Mn3Ni2N
1.0
6.347 0.000 0.000
0.000 6.347 0.000
0.000 0.000 6.347
Mn Ni N
12 8 4
Direct
0.205 0.455 0.125 Mn
0.705 0.045 0.875 Mn
0.455 0.125 0.205 Mn
0.875 0.705 0.045 Mn
0.375 0.795 0.955 Mn
0.125 0.205 0.455 Mn
0.625 0.295 0.545 Mn
0.955 0.375 0.795 Mn
0.795 0.955 0.375 Mn
0.545 0.625 0.295 Mn
0.295 0.545 0.625 Mn
0.045 0.875 0.705 Mn
0.819 0.319 0.181 Ni
0.319 0.181 0.819 Ni
0.569 0.431 0.931 Ni
0.069 0.069 0.069 Ni
0.431 0.931 0.569 Ni
0.681 0.681 0.681 Ni
0.181 0.819 0.319 Ni
0.931 0.569 0.431 Ni
0.375 0.375 0.375 N
0.125 0.625 0.875 N
0.875 0.125 0.625 N
0.625 0.875 0.125 N
```

Calculated density in g cm⁻³: 7.69
SG: P4_132
Energy relative to the elements, uncorrected in kJ/mol of atoms: -13.0
Total DFT energy (no corrections) in eV per atom: -8.034

# 15
Material: RbMgAlF6
Method: DFT, PBE
State: optimized geometry

POSCAR file:
```
RbMgAlF6
1.0
7.152 0.002 -0.001
-0.017 7.152 0.001
-3.513 -3.631 5.062
F Mg Al Rb
12 2 2 2
Direct
0.699 0.834 0.277 F
0.301 0.166 0.723 F
0.301 0.578 0.135 F
0.948 0.198 0.750 F
0.057 0.422 0.223 F
0.943 0.166 0.365 F
0.057 0.834 0.635 F
0.669 0.419 0.250 F
0.699 0.422 0.865 F
0.943 0.578 0.777 F
0.331 0.581 0.750 F
0.052 0.802 0.250 F
0.000 0.500 0.500 Mg
0.500 0.500 0.000 Mg
0.000 0.000 0.500 Al
0.000 0.500 0.000 Al
0.380 0.130 0.250 Rb
0.620 0.870 0.750 Rb
```

Calculated density in g cm⁻³: 3.22
SG: Imma
Energy relative to the elements, uncorrected in kJ/mol of atoms: -332.9
Total DFT energy (no corrections) in eV per atom: -5.398

# 16
Material: LiPbW
Method: DFT, PBE
State: optimized geometry

POSCAR file:
```
LiPbW
1.0
-1.871 -4.159 -2.693
2.805 -4.327 -1.206
-1.782 3.260 3.774
W Pb Li
1 1 1
Direct
0.657 0.657 0.000 W
0.340 0.340 0.000 Pb
0.002 0.002 0.000 Li
```

Calculated density in g cm⁻³: 12.14
SG: Imm2
ΔE_f in eV/atom: 0.770
Energy above the most stable polymorph in this dataset in meV per atom: 113
Total DFT energy (no corrections) in eV per atom: -5.422

# 17
Material: ErPdPt4
Method: DFT, PBE
State: optimized geometry

POSCAR file:
```
ErPdPt4
1.0
-0.568 -3.922 -3.072
5.667 -0.510 -0.396
0.197 -2.957 6.637
Pt Er Pd
8 2 2
Direct
0.774 0.001 0.322 Pt
0.774 0.499 0.322 Pt
0.000 0.000 0.000 Pt
0.226 0.999 0.678 Pt
0.000 0.500 0.000 Pt
0.226 0.501 0.678 Pt
0.495 0.250 0.005 Pt
0.505 0.750 0.995 Pt
0.280 0.750 0.340 Er
0.720 0.250 0.660 Er
0.738 0.750 0.658 Pd
0.262 0.250 0.342 Pd
```

Calculated density in g cm⁻³: 17.37
SG: P2_1/m
ΔE_f in eV/atom: -0.646
Energy above the most stable polymorph in this dataset in meV per atom: 44
Total DFT energy (no corrections) in eV per atom: -6.299

# 18
Material: LaTb6Er3Th2
Method: DFT, PBE
State: optimized geometry

POSCAR file:
```
LaTb6Er3Th2
1.0
6.188 0.002 0.010
-3.091 5.361 0.010
-1.053 -1.823 11.593
Tb Er La Th
6 3 1 2
Direct
0.577 0.916 0.750 Tb
0.254 0.254 0.750 Tb
0.916 0.577 0.750 Tb
0.423 0.084 0.250 Tb
0.746 0.746 0.250 Tb
0.084 0.423 0.250 Tb
0.167 0.833 0.500 Er
0.500 0.500 0.500 Er
0.833 0.167 0.500 Er
0.000 0.000 0.000 La
0.667 0.333 0.000 Th
0.333 0.667 0.000 Th
```

Calculated density in g cm⁻³: 8.88
SG: C2/m
ΔE_f in eV/atom: 0.034
Total DFT energy (no corrections) in eV per atom: -5.069

# 19
Material: Tl2PtBr
Method: DFT, PBE
State: optimized geometry

POSCAR file:
```
Tl2PtBr
1.0
4.225 -0.011 0.013
2.103 3.665 0.013
1.946 1.123 7.297
Tl Br Pt
2 1 1
Direct
0.523 0.523 0.446 Tl
0.977 0.977 0.054 Tl
0.750 0.750 0.750 Br
0.250 0.250 0.250 Pt
```

Calculated density in g cm⁻³: 10.04
SG: C2/m
Energy above the most stable polymorph in this dataset in meV per atom: 16
Energy relative to the elements, uncorrected in kJ/mol of atoms: -20.7
Total DFT energy (no corrections) in eV per atom: -3.326

# 20
Material: TaInBr2
Method: DFT, PBE
State: optimized geometry

POSCAR file:
```
TaInBr2
1.0
7.988 0.021 -0.008
5.855 5.434 0.008
-6.493 -3.817 2.663
Br In Ta
2 1 1
Direct
0.094 0.094 0.000 Br
0.761 0.261 0.500 Br
0.410 0.410 0.000 In
0.235 0.735 0.500 Ta
```

Calculated density in g cm⁻³: 6.55
SG: Imm2
Energy above the most stable polymorph in this dataset in meV per atom: 413
Energy relative to the elements, uncorrected in kJ/mol of atoms: 15.7
Total DFT energy (no corrections) in eV per atom: -4.321

# 21
Material: LaAg2Ge2
Method: DFT, PBE
State: optimized geometry

POSCAR file:
```
LaAg2Ge2
1.0
-0.157 -7.006 -4.370
-3.364 -3.937 6.433
-2.827 0.713 -1.042
Ge Ag La
4 4 2
Direct
0.322 0.178 0.500 Ge
0.822 0.322 0.500 Ge
0.178 0.678 0.500 Ge
0.678 0.822 0.500 Ge
0.380 0.880 0.000 Ag
0.880 0.620 0.000 Ag
0.120 0.380 0.000 Ag
0.620 0.120 0.000 Ag
0.000 0.000 0.000 La
0.500 0.500 0.000 La
```

Calculated density in g cm⁻³: 7.86
SG: P4/mbm
ΔE_f in eV/atom: -0.146
Total DFT energy (no corrections) in eV per atom: -4.119

# 22
Material: Li2HgF
Method: DFT, PBE
State: optimized geometry

POSCAR file:
```
Li2HgF
1.0
3.078 0.000 0.000
1.539 2.666 0.000
1.539 0.889 7.157
Li F Hg
2 1 1
Direct
0.720 0.720 0.839 Li
0.280 0.280 0.161 Li
0.000 0.000 0.000 F
0.500 0.500 0.500 Hg
```

Calculated density in g cm⁻³: 6.60
SG: R-3m
Energy above the most stable polymorph in this dataset in meV per atom: 0
Energy relative to the elements, uncorrected in kJ/mol of atoms: -145.0
Total DFT energy (no corrections) in eV per atom: -3.003